First-principles (PBE-GGA) data for an optimized crystal structure of YZn6Rh4, as listed in Alexandria.

Cell lengths 6.5852, 6.5852, 6.5852 Å; angles 120.63, 120.63, 88.91 degrees
Element x y z (fractional)
Y  0.0000  0.0000  0.0000
Zn  0.0000  0.5000  0.5000
Zn  0.1145  0.1145  0.6318
Zn  0.4827  0.4827  0.3682
Zn  0.5000  0.0000  0.5000
Zn  0.5173  0.8855  0.0000
Zn  0.8855  0.5173  0.0000
Rh  0.2466  0.6031  0.0000
Rh  0.3969  0.3969  0.6435
Rh  0.6031  0.2466  0.0000
Rh  0.7534  0.7534  0.3565

The formation energy is -19.4 kJ per mole of atoms. The calculation puts the total magnetization at 0.0 μB/f.u. The calculated volume comes out at 18.18 Å³ per atom.

First-principles (PBE-GGA) data for an optimized crystal structure of Y2ZnRh, as listed in Alexandria.

Cell lengths 4.8343, 4.8343, 4.8343 Å; angles 60.00, 60.00, 60.00 degrees
Element x y z (fractional)
Y  0.0000  0.0000  0.0000
Y  0.2500  0.2500  0.2500
Zn  0.7500  0.7500  0.7500
Rh  0.5000  0.5000  0.5000

The formation energy is -31.0 kJ per mole of atoms. The calculation puts the total magnetization at 0.0 μB/f.u. The calculated volume comes out at 19.97 Å³ per atom.

First-principles (PBE-GGA) data for an optimized crystal structure of Y2Zn3Rh2, as listed in Alexandria.

Cell lengths 5.2707, 5.2707, 7.0049 Å; angles 109.50, 109.50, 46.24 degrees
Element x y z (fractional)
Y  0.1455  0.1455  0.2704
Y  0.8545  0.8545  0.7296
Zn  0.3676  0.3676  0.0575
Zn  0.5000  0.5000  0.5000
Zn  0.6324  0.6324  0.9425
Rh  0.1382  0.1382  0.6971
Rh  0.8618  0.8618  0.3029

The formation energy is -61.0 kJ per mole of atoms. The calculation puts the total magnetization at 0.0 μB/f.u. The calculated volume comes out at 18.71 Å³ per atom.

First-principles (PBE-GGA) data for an optimized crystal structure of Y2ZnRh2, as listed in Alexandria.

Cell lengths 8.0512, 8.0512, 8.0512 Å; angles 152.45, 152.45, 39.35 degrees
Element x y z (fractional)
Y  0.1144  0.1144  0.0000
Y  0.8856  0.8856  0.0000
Zn  0.5000  0.5000  0.0000
Rh  0.2500  0.7500  0.5000
Rh  0.7500  0.2500  0.5000

The formation energy is -28.3 kJ per mole of atoms. The calculation puts the total magnetization at 0.0 μB/f.u. The calculated volume comes out at 22.28 Å³ per atom.

First-principles (PBE-GGA) data for an optimized crystal structure of Y6ZnRh, as listed in Alexandria.

Cell lengths 9.3661, 9.3661, 9.3661 Å; angles 148.99, 148.99, 44.43 degrees
Element x y z (fractional)
Y  0.0979  0.5979  0.5000
Y  0.2480  0.2480  0.0000
Y  0.4021  0.9021  0.5000
Y  0.5979  0.0979  0.5000
Y  0.7520  0.7520  0.0000
Y  0.9021  0.4021  0.5000
Zn  0.0000  0.0000  0.0000
Rh  0.5000  0.5000  0.0000

The formation energy is -26.0 kJ per mole of atoms. The calculation puts the total magnetization at 0.0 μB/f.u. The calculated volume comes out at 27.18 Å³ per atom. The energy above the most stable polymorph in this dataset is 0 meV per atom.

First-principles (PBE-GGA) data for an optimized crystal structure of YZnRh2, as listed in Alexandria.

Cell lengths 5.2193, 5.2193, 5.2193 Å; angles 49.77, 49.77, 49.77 degrees
Element x y z (fractional)
Y  0.0000  0.0000  0.0000
Zn  0.7906  0.7906  0.7906
Rh  0.2006  0.2006  0.2006
Rh  0.5423  0.5423  0.5423

The formation energy is -44.8 kJ per mole of atoms. The calculation puts the total magnetization at 0.0 μB/f.u. The calculated volume comes out at 19.05 Å³ per atom.

Q: total magnetization of number 1 (YZn6Rh4)?
A: 0.0 μB/f.u.